*a*
An optimized crystal structure of PrDyTh2. Source: Alexandria, functional PBE.

```
PrDyTh2
1.0
3.567 0.000 0.000
0.000 3.567 0.000
0.000 0.000 10.357
Pr Dy Th
1 1 2
Cartesian
0.000 0.000 0.000
0.000 0.000 5.178
1.783 1.783 2.647
1.783 1.783 7.710
```

*b*
An optimized crystal structure of PrDyTh2. Source: Alexandria, functional PBE.

```
PrDyTh2
1.0
1.759 1.016 12.482
-1.759 1.016 12.482
0.000 -2.031 12.482
Pr Dy Th
1 1 2
Cartesian
0.000 0.000 0.000
0.000 0.000 18.723
0.000 0.000 3.321
0.000 0.000 34.125
```

*c*
An optimized crystal structure of PrDyTh2. Source: Alexandria, functional PBE.

```
PrDyTh2
1.0
5.705 -8.091 0.000
5.705 8.091 0.000
-0.612 0.000 3.514
Pr Dy Th
2 2 4
Cartesian
2.853 4.045 0.000
2.546 -4.045 1.757
5.246 4.869 2.636
5.552 -4.869 0.879
3.947 1.427 1.583
3.641 -1.427 3.340
7.157 1.427 0.174
6.851 -1.427 1.931
```

Tell me which of them is the most stable. Sure, it is *a*.

*a*
An optimized crystal structure of PrDyTh2. Source: Alexandria, functional PBE.

```
PrDyTh2
1.0
1.795 1.036 11.790
-1.795 1.036 11.790
0.000 -2.073 11.790
Pr Dy Th
1 1 2
Cartesian
0.000 0.000 0.000
0.000 0.000 6.009
0.000 0.000 20.640
0.000 0.000 26.654
```

*b*
An optimized crystal structure of PrDyTh2. Source: Alexandria, functional PBE.

```
PrDyTh2
1.0
5.034 0.000 0.000
0.000 5.034 0.000
0.000 0.000 5.187
Pr Dy Th
1 1 2
Cartesian
0.000 0.000 0.000
2.517 2.517 0.000
0.000 2.517 2.594
2.517 0.000 2.594
```

Tell me which of them is the most stable. Sure, it is *a*.

*a*
An optimized crystal structure of PrDyTh2. Source: Alexandria, functional PBE.

```
PrDyTh2
1.0
5.060 0.000 0.000
0.000 5.100 0.000
-0.018 0.000 10.238
Pr Dy Th
2 2 4
Cartesian
5.056 1.275 1.367
-0.014 3.825 8.871
2.515 1.275 8.868
2.527 3.825 1.370
-0.011 1.275 6.355
5.053 3.825 3.883
2.525 1.275 3.906
2.517 3.825 6.332
```

*b*
An optimized crystal structure of PrDyTh2. Source: Alexandria, functional PBE.

```
PrDyTh2
1.0
0.000 4.039 4.039
4.039 0.000 4.039
4.039 4.039 0.000
Pr Dy Th
1 1 2
Cartesian
0.000 0.000 0.000
4.039 4.039 4.039
2.020 2.020 2.020
6.059 6.059 6.059
```

Tell me which of them is the most stable. Sure, it is *a*.

*a*
An optimized crystal structure of Pr2Dy6Th. Source: Alexandria, functional PBE.

```
Pr2Dy6Th
1.0
3.589 0.000 0.000
-1.795 3.108 0.000
0.000 0.000 26.653
Pr Dy Th
2 6 1
Cartesian
0.000 0.000 4.555
0.000 0.000 22.098
0.000 0.000 10.428
0.000 0.000 16.225
1.795 1.036 1.668
1.795 1.036 7.607
1.795 1.036 19.046
1.795 1.036 24.984
1.795 1.036 13.326
```

*b*
An optimized crystal structure of Pr2Dy6Th. Source: Alexandria, functional PBE.

```
Pr2Dy6Th
1.0
-1.705 4.951 8.905
1.705 -4.951 8.905
1.705 4.951 -8.905
Pr Dy Th
2 6 1
Cartesian
0.000 0.000 2.930
0.000 0.000 14.879
1.705 3.136 -2.955
0.000 1.923 0.000
1.705 3.136 2.955
0.000 1.815 5.949
0.000 7.978 0.000
0.000 1.815 11.860
0.000 0.000 8.905
```

Tell me which of them is the most stable. Sure, it is *a*.

*a*
An optimized crystal structure of Pr4Dy2Th. Source: Alexandria, functional PBE.

```
Pr4Dy2Th
1.0
0.000 12.237 3.236
6.100 0.000 3.236
6.100 12.237 0.000
Pr Dy Th
8 4 2
Cartesian
6.618 1.702 3.236
3.568 4.417 1.618
2.532 7.820 1.618
5.308 8.738 3.448
9.941 14.856 5.066
6.891 15.736 3.448
5.582 22.772 3.236
8.358 21.855 5.066
3.313 0.792 1.891
6.363 5.326 3.509
2.787 11.445 1.891
5.837 19.148 3.509
6.100 12.237 3.230
9.150 18.356 4.848
```

*b*
An optimized crystal structure of Pr4Dy2Th. Source: Alexandria, functional PBE.

```
Pr4Dy2Th
1.0
-3.425 5.858 6.124
3.425 -5.858 6.124
3.425 5.858 -6.124
Pr Dy Th
8 4 2
Cartesian
0.000 0.034 1.896
1.538 2.929 -0.145
1.886 -2.929 5.979
3.425 0.034 4.227
0.000 5.824 1.896
1.538 8.786 0.145
1.886 2.929 6.268
3.425 5.824 4.227
3.425 0.000 0.000
3.425 2.929 -2.708
0.000 0.000 6.124
0.000 2.929 8.832
-1.712 2.929 3.062
1.712 2.929 3.062
```

Tell me which of them is the most stable. Sure, it is *a*.

*a*
An optimized crystal structure of Pr2Dy8Th. Source: Alexandria, functional PBE.

```
Pr2Dy8Th
1.0
9.643 -3.428 0.000
9.643 3.428 0.000
-0.372 0.000 5.612
Pr Dy Th
2 8 1
Cartesian
4.119 0.000 1.418
14.795 0.000 4.194
0.850 0.000 1.289
7.090 1.785 1.539
5.857 0.000 4.357
11.824 1.785 4.073
7.090 -1.785 1.539
13.057 0.000 1.255
11.824 -1.785 4.073
18.064 0.000 4.323
9.643 0.000 0.000
```

*b*
An optimized crystal structure of Pr2Dy8Th. Source: Alexandria, functional PBE.

```
Pr2Dy8Th
1.0
9.122 -2.534 0.000
9.122 2.534 0.000
-2.089 0.000 7.721
Pr Dy Th
2 8 1
Cartesian
3.872 0.000 1.055
12.281 0.000 6.665
0.313 0.000 1.794
1.029 0.000 5.215
4.610 0.000 4.580
7.397 0.000 0.382
8.756 0.000 7.338
11.544 0.000 3.140
15.124 0.000 2.505
15.841 0.000 5.927
8.077 0.000 3.860
```

Tell me which of them is the most stable. Sure, it is *b*.

*a*
An optimized crystal structure of PrDy8Th2. Source: Alexandria, functional PBE.

```
PrDy8Th2
1.0
9.558 -3.517 0.000
9.558 3.517 0.000
-0.217 0.000 5.555
Pr Dy Th
1 8 2
Cartesian
0.000 0.000 0.000
6.961 1.618 1.457
3.457 0.000 1.297
11.938 1.618 4.098
8.486 0.000 4.227
10.413 0.000 1.327
6.961 -1.618 1.457
15.441 0.000 4.258
11.938 -1.618 4.098
5.241 0.000 4.107
13.657 0.000 1.448
```

*b*
An optimized crystal structure of PrDy8Th2. Source: Alexandria, functional PBE.

```
PrDy8Th2
1.0
5.965 0.000 0.000
-1.001 7.523 0.000
-2.484 -3.757 8.064
Pr Dy Th
1 8 2
Cartesian
0.000 0.000 0.000
0.002 0.007 3.384
0.885 3.213 0.002
-0.527 2.121 6.160
0.518 -2.114 6.157
1.961 5.879 1.906
3.006 1.644 1.904
1.595 0.553 8.062
2.478 3.758 4.680
-0.502 3.767 3.121
2.982 -0.001 4.942
```

Tell me which of them is the most stable. Sure, it is *a*.

*a*
An optimized crystal structure of Pr5Dy4Th. Source: Alexandria, functional PBE.

```
Pr5Dy4Th
1.0
9.217 -1.799 0.000
9.217 1.799 0.000
-1.218 0.000 10.613
Pr Dy Th
5 4 1
Cartesian
0.000 0.000 0.000
4.601 0.000 9.550
6.340 0.000 2.963
10.875 0.000 7.649
12.614 0.000 1.063
2.811 0.000 4.443
7.434 0.000 7.827
9.781 0.000 2.785
14.405 0.000 6.170
-0.609 0.000 5.306
```

*b*
An optimized crystal structure of Pr5Dy4Th. Source: Alexandria, functional PBE.

```
Pr5Dy4Th
1.0
6.570 0.000 0.000
0.426 6.631 0.000
1.807 3.072 7.979
Pr Dy Th
5 4 1
Cartesian
0.000 0.000 0.000
2.914 7.553 4.446
3.625 4.238 5.512
5.178 5.465 2.467
5.889 2.150 3.533
1.991 4.421 2.552
3.391 1.712 0.765
5.412 7.992 7.215
6.812 5.283 5.427
0.213 3.316 0.000
```

Tell me which of them is the most stable. Sure, it is *a*.